K2ZnHg | GGA-PBE | relaxed

a b c (Å): 4.2034 4.2034 8.4430
angles (deg): 90.00 90.00 90.00
Fractional coordinates of all 4 atoms:
Hg1 0.5000 0.5000 0.7500
Zn1 0.5000 0.5000 0.2500
K1 0.0000 0.0000 0.0034
K2 0.0000 0.0000 0.4966

Results
For the magnetization, the calculation gives 0.000 μB/f.u. Its energy of formation is -0.006 eV/atom. The value obtained for the theoretical density is 3.8 g/cm³. The density of states at the Fermi level comes out at 2.40 states/eV/cell. As for the relative energy among the computed polymorphs: 0.33 eV/f.u. The raw total energy comes out at -0.948 eV/atom.